VASP calculation (PBE) on TbPdS2 after structural relaxation.

The space group is R-3m (No. 166, hexagonal axes) and the conventional cell measures 3.6881, 3.6881 and 23.4958 Å, with angles of 90.00, 90.00 and 120.00 degrees. Symmetry generates all atoms from Tb at (0.0000, 0.0000, 0.0000), Pd at (0.0000, 0.0000, 0.5000) and S at (0.0000, 0.0000, 0.1136).

The energy above the most stable polymorph in this dataset comes out at 0.676 eV/atom. The uncorrected energy is -58.89 eV for the cell shown. The value obtained for the energy relative to the elements, uncorrected is -150 kJ/mol of formula units. The total magnetic moment comes out at 0.00 Bohr magnetons per cell.